# 1
DFT (PBE-GGA) results for a relaxed structure of Sr3La2DyTe6.

a b c (Å): 10.365 10.365 9.303
angles (deg): 104.22 104.22 25.47
Element x y z (fractional)
Sr 0.000 0.000 0.000
Sr 0.331 0.331 0.665
Sr 0.669 0.669 0.335
La 0.332 0.332 0.164
La 0.668 0.668 0.836
Dy 0.000 0.000 0.500
Te 0.160 0.160 0.584
Te 0.167 0.167 0.083
Te 0.500 0.500 0.266
Te 0.500 0.500 0.734
Te 0.833 0.833 0.917
Te 0.840 0.840 0.416

- N(E_F): 5.8 states/eV per cell
- Raw formation energy: -1.5799 eV/atom
- Calculated density: 5.862 g cm⁻³
- Volume: 416 Å³/cell

---

# 2
DFT (PBE-GGA) results for a relaxed structure of SrLa3Dy2Te6.

a b c (Å): 10.119 10.119 9.112
angles (deg): 103.39 103.39 25.67
Element x y z (fractional)
Sr 0.000 0.000 0.000
La 0.000 0.000 0.500
La 0.337 0.337 0.174
La 0.663 0.663 0.826
Dy 0.331 0.331 0.661
Dy 0.669 0.669 0.339
Te 0.169 0.169 0.096
Te 0.169 0.169 0.574
Te 0.493 0.493 0.746
Te 0.507 0.507 0.254
Te 0.831 0.831 0.426
Te 0.831 0.831 0.904

- N(E_F): 6.4 states/eV per cell
- Raw formation energy: -1.4934 eV/atom
- Calculated density: 6.747 g cm⁻³
- Volume: 393 Å³/cell

---

# 3
DFT (PBE-GGA) results for a relaxed structure of La2DyTa.

a b c (Å): 12.388 12.388 12.388
angles (deg): 15.25 15.25 15.25
Element x y z (fractional)
La 0.079 0.079 0.079
La 0.921 0.921 0.921
Dy 0.500 0.500 0.500
Ta 0.000 0.000 0.000

- ΔE_f: 641 meV per atom
- N(E_F): 7.0 states/eV per cell
- Calculated density: 9.002 g cm⁻³
- Volume: 115 Å³/cell

---

# 4
DFT (PBE-GGA) results for a relaxed structure of LaTb12Dy5.

a b c (Å): 10.702 10.702 5.043
angles (deg): 90.00 90.00 90.02
Element x y z (fractional)
La 0.000 0.000 0.000
Tb 0.000 0.336 0.000
Tb 0.000 0.664 0.000
Tb 0.168 0.500 0.500
Tb 0.169 0.169 0.500
Tb 0.334 0.334 0.000
Tb 0.336 0.000 0.000
Tb 0.500 0.168 0.500
Tb 0.500 0.832 0.500
Tb 0.664 0.000 0.000
Tb 0.666 0.666 0.000
Tb 0.831 0.831 0.500
Tb 0.832 0.500 0.500
Dy 0.169 0.831 0.500
Dy 0.333 0.667 0.000
Dy 0.500 0.500 0.500
Dy 0.667 0.333 0.000
Dy 0.831 0.169 0.500

- ΔE_f: 19 meV per atom
- N(E_F): 25.4 states/eV per cell
- Calculated density: 8.218 g cm⁻³
- Volume: 578 Å³/cell

---

# 5
DFT (PBE-GGA) results for a relaxed structure of La2Tb3Dy5.

a b c (Å): 9.728 9.728 9.349
angles (deg): 108.18 108.18 113.53
Element x y z (fractional)
La 0.015 0.269 0.047
La 0.269 0.015 0.547
La 0.731 0.985 0.453
La 0.985 0.731 0.953
Tb 0.222 0.466 0.453
Tb 0.275 0.725 0.250
Tb 0.466 0.222 0.953
Tb 0.534 0.778 0.047
Tb 0.725 0.275 0.750
Tb 0.778 0.534 0.547
Dy 0.023 0.977 0.750
Dy 0.149 0.388 0.779
Dy 0.230 0.770 0.750
Dy 0.388 0.149 0.279
Dy 0.472 0.528 0.250
Dy 0.528 0.472 0.750
Dy 0.612 0.851 0.721
Dy 0.770 0.230 0.250
Dy 0.851 0.612 0.221
Dy 0.977 0.023 0.250

- ΔE_f: 191 meV per atom
- N(E_F): 33.5 states/eV per cell
- Calculated density: 7.804 g cm⁻³
- Volume: 667 Å³/cell

---

# 6
DFT (PBE-GGA) results for a relaxed structure of La3Tb12Dy.

a b c (Å): 5.087 5.087 20.348
angles (deg): 90.00 90.00 90.00
Element x y z (fractional)
La 0.000 0.000 0.000
La 0.000 0.000 0.251
La 0.000 0.000 0.749
Tb 0.000 0.500 0.126
Tb 0.000 0.500 0.378
Tb 0.000 0.500 0.622
Tb 0.000 0.500 0.874
Tb 0.500 0.000 0.126
Tb 0.500 0.000 0.378
Tb 0.500 0.000 0.622
Tb 0.500 0.000 0.874
Tb 0.500 0.500 0.000
Tb 0.500 0.500 0.252
Tb 0.500 0.500 0.500
Tb 0.500 0.500 0.748
Dy 0.000 0.000 0.500

- ΔE_f: 25 meV per atom
- N(E_F): 24.5 states/eV per cell
- Calculated density: 7.841 g cm⁻³
- Volume: 527 Å³/cell

---

# 7
DFT (PBE-GGA) results for a relaxed structure of LaTb12Dy7.

a b c (Å): 8.739 8.739 8.739
angles (deg): 87.05 87.05 87.05
Element x y z (fractional)
La 0.000 0.000 0.000
Tb 0.105 0.346 0.432
Tb 0.231 0.761 0.353
Tb 0.239 0.647 0.769
Tb 0.346 0.432 0.105
Tb 0.353 0.231 0.761
Tb 0.432 0.105 0.346
Tb 0.568 0.895 0.654
Tb 0.647 0.769 0.239
Tb 0.654 0.568 0.895
Tb 0.761 0.353 0.231
Tb 0.769 0.239 0.647
Tb 0.895 0.654 0.568
Dy 0.003 0.370 0.875
Dy 0.125 0.997 0.630
Dy 0.370 0.875 0.003
Dy 0.500 0.500 0.500
Dy 0.630 0.125 0.997
Dy 0.875 0.003 0.370
Dy 0.997 0.630 0.125

- ΔE_f: 237 meV per atom
- N(E_F): 35.9 states/eV per cell
- Calculated density: 7.952 g cm⁻³
- Volume: 665 Å³/cell

---

# 8
DFT (PBE-GGA) results for a relaxed structure of La2Tb7Dy.

a b c (Å): 6.221 6.230 9.525
angles (deg): 109.01 102.55 99.69
Element x y z (fractional)
La 0.100 0.199 0.202
La 0.900 0.801 0.798
Tb 0.201 0.401 0.900
Tb 0.300 0.598 0.599
Tb 0.403 0.801 0.301
Tb 0.500 0.000 0.000
Tb 0.597 0.199 0.699
Tb 0.700 0.402 0.401
Tb 0.799 0.599 0.100
Dy 0.000 0.000 0.500

- ΔE_f: 22 meV per atom
- N(E_F): 14.6 states/eV per cell
- Relative energy among the computed polymorphs: 0.0 meV per atom
- Calculated density: 7.837 g cm⁻³
- Volume: 329 Å³/cell

---

# 9
DFT (PBE-GGA) results for a relaxed structure of La4TbDy.

a b c (Å): 6.331 6.331 6.389
angles (deg): 99.75 99.75 119.41
Element x y z (fractional)
La 0.171 0.829 0.000
La 0.329 0.671 0.500
La 0.671 0.329 0.500
La 0.829 0.171 0.000
Tb 0.000 0.000 0.500
Dy 0.500 0.500 0.000

- ΔE_f: 20 meV per atom
- N(E_F): 9.2 states/eV per cell
- Relative energy among the computed polymorphs: 0.0 meV per atom
- Calculated density: 6.930 g cm⁻³
- Volume: 210 Å³/cell

---

# 10
DFT (PBE-GGA) results for a relaxed structure of La5Tb6Dy.

a b c (Å): 6.247 7.338 9.640
angles (deg): 112.34 91.24 90.05
Element x y z (fractional)
La 0.000 0.000 0.000
La 0.331 0.336 0.671
La 0.334 0.833 0.666
La 0.666 0.167 0.334
La 0.669 0.664 0.329
Tb 0.168 0.417 0.332
Tb 0.168 0.915 0.332
Tb 0.500 0.251 0.000
Tb 0.500 0.749 0.000
Tb 0.832 0.085 0.668
Tb 0.832 0.583 0.668
Dy 0.000 0.500 0.000

- ΔE_f: 25 meV per atom
- N(E_F): 18.9 states/eV per cell
- Calculated density: 7.357 g cm⁻³
- Volume: 409 Å³/cell

---

# 11
DFT (PBE-GGA) results for a relaxed structure of La3Tb3Dy2.

a b c (Å): 6.247 6.303 8.109
angles (deg): 104.98 104.77 109.45
Element x y z (fractional)
La 0.000 0.000 0.000
La 0.124 0.625 0.250
La 0.876 0.375 0.750
Tb 0.375 0.875 0.749
Tb 0.500 0.500 0.000
Tb 0.625 0.125 0.251
Dy 0.251 0.251 0.501
Dy 0.749 0.749 0.499

- ΔE_f: 23 meV per atom
- N(E_F): 12.4 states/eV per cell
- Relative energy among the computed polymorphs: 0.0 meV per atom
- Calculated density: 7.503 g cm⁻³
- Volume: 270 Å³/cell

---

# 12
DFT (PBE-GGA) results for a relaxed structure of La4TbDy2.

a b c (Å): 9.105 9.105 9.105
angles (deg): 135.00 100.78 96.07
Element x y z (fractional)
La 0.153 0.152 0.001
La 0.243 0.211 0.468
La 0.243 0.775 0.032
La 0.349 0.848 0.501
La 0.651 0.152 0.499
La 0.757 0.225 0.968
La 0.757 0.789 0.532
La 0.847 0.848 0.999
Tb 0.500 0.000 0.000
Tb 0.500 0.500 0.500
Dy 0.000 0.500 0.500
Dy 0.035 0.285 0.750
Dy 0.500 0.500 0.000
Dy 0.965 0.715 0.250

- ΔE_f: 222 meV per atom
- N(E_F): 20.3 states/eV per cell
- Relative energy among the computed polymorphs: 150.7 meV per atom
- Calculated density: 7.010 g cm⁻³
- Volume: 493 Å³/cell

---

Number 3 is which compound?
La2DyTa

---

The lowest calculated density belongs to which entry?
Sr3La2DyTe6